Record 1
Crystalline In2Si2Sn at its relaxed geometry. Source: Alexandria via LeMat-Bulk, functional PBE.

Cell lengths 3.4891, 3.4891, 19.1366 Å; angles 90.00, 90.00, 90.00 degrees
Space group I4/mmm (No. 139)
Symmetry-distinct sites (fractional):
In1 0.0000 0.0000 0.1175
Si1 0.0000 0.5000 0.2500
Sn1 0.0000 0.0000 0.5000

Values from the calculation:
Energy relative to the elements, uncorrected in eV per atom: 0.220



Record 2
Crystalline Pr2SmCd3 at its relaxed geometry. Source: Alexandria via LeMat-Bulk, functional PBE.

Cell lengths 5.4582, 5.4582, 6.6871 Å; angles 90.00, 90.00, 120.00 degrees
Space group P-3m1 (No. 164)
Symmetry-distinct sites (fractional):
Pr1 0.3333 0.6667 0.1694
Sm1 0.0000 0.0000 0.5000
Cd1 0.0000 0.0000 0.0000
Cd2 0.3333 0.6667 0.6642

Values from the calculation:
Energy relative to the lowest polymorph listed for this composition in meV per atom: 0
Formation energy in meV per atom: -319